# NbAlVO6

NbAlVO6 after structural relaxation (PBE with a Hubbard U, Alexandria).

Cell lengths 4.598, 4.598, 8.987 Å; angles 90.00, 90.00, 90.00 degrees
Space group P4_2nm (No. 102)
Asymmetric unit:
Nb 0.000 0.000 0.000 [2 per cell]
Al 0.000 0.000 0.661 [2 per cell]
V 0.000 0.000 0.331 [2 per cell]
O 0.190 0.190 0.497 [4 per cell]
O 0.201 0.201 0.821 [4 per cell]
O 0.205 0.205 0.159 [4 per cell]

Values from the calculation:
DOS at the Fermi energy (states/eV per atom): 0.00
Uncorrected energy (eV/atom): -8.132